Computed, not measured: Er6C2S3Cl after structural relaxation at the GGA-PBE level of DFT.

Calculated values
The value obtained for the density of states at the Fermi level is 2.78 states/eV/f.u. The value obtained for the spin magnetization is 0.00 μB per formula unit. For the uncorrected formation energy, the calculation gives -1.448 eV/atom.

Unit cell a=16.4734 b=3.7138 c=7.7162 alpha=90.00 beta=102.72 gamma=90.00
With the nearest neighbours (Å) after each atom.
Space group C2/m (No. 12)
Unique sites:
Er 0.0200 0.0000 0.2770  1 C 2.39, 2 S 2.60
Er 0.1754 0.5000 0.5633  3 C 2.51-2.55
Er 0.1767 0.5000 0.1291  2 C 2.46, 1 S 2.68
C 0.1689 0.0000 0.3336  6 Er 2.39-2.55
S 0.0000 0.5000 0.5000  6 Er 2.60-2.82
S 0.1580 0.0000 0.8380  6 Er 2.68-2.88
Cl 0.0000 0.5000 0.0000  6 Er 2.80-2.86